Record 1
5
Lattice="5.2066 0.0000 0.0000 0.0000 5.2066 0.0000 0.0000 0.0000 4.9372" Properties=species:S:1:pos:R:3 comment="GGA-PBEsol BaSc2WSe, relaxed" energy_ev_per_atom=-4.656 formation_energy_uncorrected_ev_per_atom=1.9473 rho_g_cm3=6.08 pbc="T T T"
Ba 0.0000 0.0000 0.0000
Sc 0.0000 2.6033 0.0000
Sc 2.6033 0.0000 0.0000
W 0.0000 0.0000 2.4686
Se 2.6033 2.6033 2.4686

Record 2
10
Lattice="4.8122 0.0000 0.0000 0.0000 4.8122 0.0000 0.0000 0.0000 12.8106" Properties=species:S:1:pos:R:3 comment="GGA-PBEsol BaSc2Sn2, relaxed" energy_ev_per_atom=-5.380 e_form_mev_per_atom=-605 rho_g_cm3=5.20 pbc="T T T"
Ba 0.0000 0.0000 0.0000
Ba 2.4061 2.4061 6.4053
Sc 0.0000 2.4061 3.2027
Sc 0.0000 2.4061 9.6080
Sc 2.4061 0.0000 3.2027
Sc 2.4061 0.0000 9.6080
Sn 0.0000 0.0000 4.8709
Sn 0.0000 0.0000 7.9397
Sn 2.4061 2.4061 1.5344
Sn 2.4061 2.4061 11.2762

Record 3
5
Lattice="6.5649 0.0000 0.0000 0.0000 6.5649 0.0000 0.0000 0.0000 6.5649" Properties=species:S:1:pos:R:3 comment="GGA-PBEsol Ba3ScSn, relaxed" energy_ev_per_atom=-3.135 e_form_mev_per_atom=328 rho_g_cm3=3.38 pbc="T T T"
Ba 0.0000 0.0000 3.2824
Ba 0.0000 3.2824 0.0000
Ba 3.2824 0.0000 0.0000
Sc 3.2824 3.2824 3.2824
Sn 0.0000 0.0000 0.0000